No. 1
# Tb3Pm4Nd4 | Alexandria | GGA-PBE | relaxed
data_Tb3Pm4Nd4
_chemical_formula_sum 'Tb6 Pm8 Nd8'
_space_group_name_H-M_alt 'I m m m'
_space_group_IT_number 71
_space_group_name_Hall '-I 2 2'
_cell_length_a 3.662
_cell_length_b 9.576
_cell_length_c 21.952
_cell_angle_alpha 90.00
_cell_angle_beta 90.00
_cell_angle_gamma 90.00
loop_
_atom_site_label
_atom_site_fract_x
_atom_site_fract_y
_atom_site_fract_z
Tb1 0.000 0.000 0.000
Tb2 0.000 0.500 0.107
Pm1 0.000 0.000 0.261
Pm2 0.000 0.185 0.500
Nd1 0.000 0.325 0.356
# * relative energy among the computed polymorphs: 73 meV per atom
# * volume: 35.0 Å³ per atom
# * density of states at the Fermi level: 34.17 states/eV/cell
# * formation energy: 125 meV/atom
# * E: -50.6 eV per formula unit
# * crystal system: orthorhombic
# * density: 7.05 g/cm3

=====

No. 2
# Sm3SnAs | Alexandria | GGA-PBE | relaxed
data_Sm3SnAs
_chemical_formula_sum 'Sm12 Sn4 As4'
_space_group_name_H-M_alt 'P n m a'
_space_group_IT_number 62
_cell_length_a 8.563
_cell_length_b 4.381
_cell_length_c 15.601
_cell_angle_alpha 90.00
_cell_angle_beta 90.00
_cell_angle_gamma 90.00
loop_
_space_group_symop_operation_xyz
'x,y,z'
'-x,-y,-z'
'-x+1/2,-y,z+1/2'
'x+1/2,y,-z+1/2'
'x+1/2,-y+1/2,-z+1/2'
'-x+1/2,y+1/2,z+1/2'
'-x,y+1/2,-z'
'x,-y+1/2,z'
loop_
_atom_site_label
_atom_site_fract_x
_atom_site_fract_y
_atom_site_fract_z
Sm1 0.017 0.250 0.108
Sm2 0.149 0.250 0.533
Sm3 0.172 0.750 0.282
Sn1 0.106 0.750 0.686
As1 0.190 0.250 0.947
# * volume: 29.3 Å³ per atom
# * density of states at the Fermi level: 17.96 states/eV/cell
# * formation energy: -936 meV/atom
# * E: -27.5 eV per formula unit
# * crystal system: orthorhombic
# * density: 7.32 g/cm3

=====

No. 3
# SrSbAu3 | Alexandria | GGA-PBE | relaxed
data_SrSbAu3
_chemical_formula_sum 'Sr4 Sb4 Au12'
_space_group_name_H-M_alt 'C 1 2/c 1'
_space_group_IT_number 15
_cell_length_a 12.541
_cell_length_b 7.977
_cell_length_c 6.272
_cell_angle_alpha 90.00
_cell_angle_beta 119.79
_cell_angle_gamma 90.00
loop_
_space_group_symop_operation_xyz
'x,y,z'
'-x,-y,-z'
'-x,y,-z+1/2'
'x,-y,z+1/2'
'x+1/2,y+1/2,z'
'-x+1/2,-y+1/2,-z'
'-x+1/2,y+1/2,-z+1/2'
'x+1/2,-y+1/2,z+1/2'
loop_
_atom_site_label
_atom_site_fract_x
_atom_site_fract_y
_atom_site_fract_z
Sr1 0.000 0.178 0.250
Sb1 0.250 0.250 0.000
Au1 0.000 0.218 0.750
Au2 0.136 0.500 0.136
# * relative energy among the computed polymorphs: 132 meV per atom
# * volume: 27.2 Å³ per atom
# * density of states at the Fermi level: 4.74 states/eV/cell
# * E: -17.5 eV per formula unit
# * formation energy (no corrections): -181 kJ/mol of formula units
# * crystal system: monoclinic
# * density: 9.76 g/cm3

=====

No. 4
# NaSn3I | Alexandria | GGA-PBE | relaxed
data_NaSn3I
_chemical_formula_sum 'Na1 Sn3 I1'
_space_group_name_H-M_alt 'P m -3 m'
_space_group_IT_number 221
_space_group_name_Hall '-P 4 2 3'
_cell_length_a 5.606
_cell_length_b 5.606
_cell_length_c 5.606
_cell_angle_alpha 90.00
_cell_angle_beta 90.00
_cell_angle_gamma 90.00
loop_
_atom_site_label
_atom_site_fract_x
_atom_site_fract_y
_atom_site_fract_z
Na1 0.000 0.000 0.000
Sn1 0.000 0.000 0.500
I1 0.500 0.500 0.500
# * relative energy among the computed polymorphs: 0 meV per atom
# * volume: 35.2 Å³ per atom
# * density of states at the Fermi level: 8.46 states/eV/cell
# * E: -12.0 eV per formula unit
# * formation energy (no corrections): 273 kJ/mol of formula units
# * crystal system: cubic
# * density: 4.77 g/cm3